No. 1
VASP calculation (GGA-PBE) on a geometry-optimized DyGa12Co4 structure. Values from VASP.

Results
Electronic total energy (eV per cell): -71.988
DFT formation energy (eV per atom): -0.1553
Total moment (μB/cell): 1.8
Density (g/cm³): 5.54
Symmetry: No. 229

Structure (Quantum ESPRESSO input):
```
&SYSTEM
  ibrav = 0, nat = 17, ntyp = 3
/
ATOMIC_SPECIES
Dy 162.50 Dy.upf
Ga 69.72 Ga.upf
Co 58.93 Co.upf
CELL_PARAMETERS angstrom
7.833 0.000 0.000
-2.611 7.385 0.000
-2.611 -3.692 6.395
ATOMIC_POSITIONS crystal
Dy 0.000 0.000 0.000
Ga 0.742 0.257 0.000
Ga 0.257 0.515 0.258
Ga 0.000 0.258 0.743
Ga 0.257 0.000 0.742
Ga 0.000 0.742 0.257
Ga 0.743 0.485 0.742
Ga 0.515 0.258 0.257
Ga 0.485 0.742 0.743
Ga 0.743 0.000 0.258
Ga 0.742 0.743 0.485
Ga 0.258 0.257 0.515
Ga 0.258 0.743 0.000
Co 0.000 0.500 0.000
Co 0.500 0.000 0.000
Co 0.500 0.500 0.500
Co 0.000 0.000 0.500
```

No. 2
VASP calculation (GGA-PBE) on a geometry-optimized La2BeCr structure. Values from VASP.

Results
Electronic total energy (eV per cell): -21.781
DFT formation energy (eV per atom): 0.3559
Total moment (μB/cell): 3.5
Density (g/cm³): 5.73
Symmetry: No. 123

Structure (Quantum ESPRESSO input):
```
&SYSTEM
  ibrav = 0, nat = 4, ntyp = 3
/
ATOMIC_SPECIES
Cr 52.00 Cr.upf
Be 9.01 Be.upf
La 138.91 La.upf
CELL_PARAMETERS angstrom
-3.464 -0.208 1.309
1.327 -0.738 3.394
1.461 6.225 4.856
ATOMIC_POSITIONS crystal
Cr 0.500 0.750 0.750
Be 0.500 0.250 0.250
La 0.000 0.983 0.017
La 0.000 0.517 0.483
```

No. 3
VASP calculation (GGA-PBE) on a geometry-optimized La2NiAu structure. Values from VASP.

Results
Electronic total energy (eV per cell): -20.437
DFT formation energy (eV per atom): -0.3809
Total moment (μB/cell): 0.0
Density (g/cm³): 7.60
Symmetry: No. 160

Structure (Quantum ESPRESSO input):
```
&SYSTEM
  ibrav = 0, nat = 4, ntyp = 3
/
ATOMIC_SPECIES
Au 196.97 Au.upf
La 138.91 La.upf
Ni 58.69 Ni.upf
CELL_PARAMETERS angstrom
-4.078 5.332 -2.843
-5.183 4.921 1.438
-1.502 7.128 0.296
ATOMIC_POSITIONS crystal
Au 0.792 0.792 0.792
La 0.037 0.037 0.037
La 0.213 0.213 0.213
Ni 0.457 0.457 0.457
```

No. 4
VASP calculation (GGA-PBE) on a geometry-optimized CuIr structure. Values from VASP.

Results
Electronic total energy (eV per cell): -50.445
DFT formation energy (eV per atom): 0.1730
Total moment (μB/cell): 0.0
Density (g/cm³): 15.81
Symmetry: No. 62

Structure (Quantum ESPRESSO input):
```
&SYSTEM
  ibrav = 0, nat = 8, ntyp = 2
/
ATOMIC_SPECIES
Cu 63.55 Cu.upf
Ir 192.22 Ir.upf
CELL_PARAMETERS angstrom
4.407 0.000 0.000
0.000 4.584 0.000
0.000 0.000 5.318
ATOMIC_POSITIONS crystal
Cu 0.250 0.077 0.127
Cu 0.750 0.423 0.627
Cu 0.250 0.577 0.373
Cu 0.750 0.923 0.873
Ir 0.250 0.071 0.627
Ir 0.750 0.429 0.127
Ir 0.250 0.571 0.873
Ir 0.750 0.929 0.373
```